The following is a DFT calculation (PBE) of a relaxed structure of Cd3TeCl.

Properties
For the formation energy (no corrections), the calculation gives 7 kJ/mol of formula units.

Structure (POSCAR):
```
Cd3TeCl
1.0
5.8424 0.0000 0.0000
0.0000 5.8424 0.0000
0.0000 0.0000 5.8424
Cd Te Cl
3 1 1
Cartesian
0.0000 0.0000 2.9212
0.0000 2.9212 0.0000
2.9212 0.0000 0.0000
0.0000 0.0000 0.0000
2.9212 2.9212 2.9212
```



The following is a DFT calculation (PBE) of a relaxed structure of NaAcAsPb.

Properties
The total energy comes out at -3.8431 eV/atom.

Structure (POSCAR):
```
NaAcAsPb
1.0
0.0000 3.8985 3.8985
3.8985 0.0000 3.8985
3.8985 3.8985 0.0000
Na Ac As Pb
1 1 1 1
Cartesian
0.0000 0.0000 0.0000
3.8985 3.8985 3.8985
1.9492 1.9492 1.9492
5.8477 5.8477 5.8477
```



The following is a DFT calculation (PBE) of a relaxed structure of La2Ge7Pt12.

Properties
The total energy comes out at -6.1375 eV/atom.

Structure (POSCAR):
```
La2Ge7Pt12
1.0
10.1886 0.0000 0.0000
-5.0943 8.8236 0.0000
0.0000 0.0000 4.1116
La Ge Pt
2 7 12
Cartesian
0.0000 0.0000 0.0000
0.0000 5.8824 2.0558
-2.4874 5.2555 0.0000
2.5404 0.2249 2.0558
1.7866 4.0417 0.0000
0.7008 8.3500 0.0000
5.0943 2.9412 0.0000
4.0189 6.5111 2.0558
8.7236 2.0876 2.0558
-3.6097 6.7754 2.0558
-0.6507 3.5137 0.0000
1.0314 2.3098 2.0558
-1.7260 7.6302 0.0000
2.9510 1.7420 0.0000
4.9603 0.9435 2.0558
3.4313 4.0561 2.0558
2.3767 6.5032 0.0000
2.5782 8.5619 2.0558
7.2045 1.6847 0.0000
5.1274 5.3970 0.0000
6.8913 3.8240 2.0558
```



The following is a DFT calculation (PBE) of a relaxed structure of Nd5MgSc4.

Properties
The total energy comes out at -5.0498 eV/atom.

Structure (POSCAR):
```
Nd5MgSc4
1.0
3.6692 0.0000 0.0000
0.0000 3.6692 0.0000
0.0000 0.0000 21.9373
Nd Mg Sc
5 1 4
Cartesian
0.0000 0.0000 0.0000
0.0000 0.0000 4.3740
0.0000 0.0000 8.7889
0.0000 0.0000 13.1484
0.0000 0.0000 17.5633
1.8346 1.8346 10.9687
1.8346 1.8346 2.1926
1.8346 1.8346 6.5887
1.8346 1.8346 15.3486
1.8346 1.8346 19.7447
```



The following is a DFT calculation (PBE) of a relaxed structure of ZnCoP2Cl.

Properties
For the formation energy (no corrections), the calculation gives 179 kJ/mol of formula units.

Structure (POSCAR):
```
ZnCoP2Cl
1.0
4.2432 0.0000 0.0000
0.0000 4.2432 0.0000
0.0000 0.0000 5.2844
Zn Co P Cl
1 1 2 1
Cartesian
0.0000 0.0000 0.0000
2.1216 2.1216 2.6422
0.0000 2.1216 2.6422
2.1216 0.0000 2.6422
2.1216 2.1216 0.0000
```



The following is a DFT calculation (PBE) of a relaxed structure of K4MnS4.

Properties
For the formation energy (no corrections), the calculation gives -855 kJ/mol of formula units.

Structure (POSCAR):
```
K4MnS4
1.0
8.9216 0.0000 0.0000
0.0000 8.9216 0.0000
0.0000 0.0000 6.6558
K Mn S
8 2 8
Cartesian
0.2148 2.2304 0.6108
2.2304 0.2148 3.9387
2.2304 4.2460 3.9387
4.2460 2.2304 0.6108
4.6755 6.6912 6.0450
6.6912 4.6755 2.7171
6.6912 8.7068 2.7171
8.7068 6.6912 6.0450
2.2304 6.6912 1.6640
6.6912 2.2304 4.9919
0.3540 6.6912 2.8208
2.2304 4.8148 0.5072
2.2304 8.5676 0.5072
4.1068 6.6912 2.8208
4.8148 2.2304 3.8351
6.6912 0.3540 6.1487
6.6912 4.1068 6.1487
8.5676 2.2304 3.8351
```



The following is a DFT calculation (PBE) of a relaxed structure of TcSbIr2.

Properties
For the formation energy (no corrections), the calculation gives 51 kJ/mol of formula units.

Structure (POSCAR):
```
TcSbIr2
1.0
-1.9948 1.9948 3.9798
1.9948 -1.9948 3.9798
1.9948 1.9948 -3.9798
Tc Sb Ir
1 1 2
Cartesian
0.0000 0.0000 0.0000
0.0000 0.0000 3.9798
1.9948 0.0000 1.9899
0.0000 1.9948 1.9899
```



The following is a DFT calculation (PBE) of a relaxed structure of Cs2N2F7.

Properties
For the formation energy (no corrections), the calculation gives -1051 kJ/mol of formula units.

Structure (POSCAR):
```
Cs2N2F7
1.0
5.2410 -5.0813 0.0000
5.2410 5.0813 0.0000
-1.3338 0.0000 4.1810
Cs N F
2 2 7
Cartesian
5.2410 3.0877 0.0000
5.2410 -3.0877 0.0000
2.2627 0.0000 1.7781
6.8854 0.0000 2.4029
-0.6669 0.0000 2.0905
3.0343 1.4145 1.4607
2.3451 0.0000 3.1356
3.0343 -1.4145 1.4607
6.1139 1.4145 2.7204
6.8030 0.0000 1.0454
6.1139 -1.4145 2.7204
```



The following is a DFT calculation (PBE) of a relaxed structure of LaPr15Dy4.

Properties
The total energy comes out at -4.7383 eV/atom.

Structure (POSCAR):
```
LaPr15Dy4
1.0
5.2183 0.0000 0.0000
0.0000 5.2183 0.0000
0.0000 0.0000 25.9870
La Pr Dy
1 15 4
Cartesian
0.0000 0.0000 0.0000
0.0000 2.6091 2.6642
0.0000 2.6091 7.8305
0.0000 2.6091 12.9935
0.0000 2.6091 18.1565
0.0000 2.6091 23.3228
2.6091 0.0000 2.6642
2.6091 0.0000 7.8305
2.6091 0.0000 12.9935
2.6091 0.0000 18.1565
2.6091 0.0000 23.3228
2.6091 2.6091 0.0000
2.6091 2.6091 5.2695
2.6091 2.6091 10.4131
2.6091 2.6091 15.5738
2.6091 2.6091 20.7175
0.0000 0.0000 5.2450
0.0000 0.0000 10.4137
0.0000 0.0000 15.5733
0.0000 0.0000 20.7420
```



The following is a DFT calculation (PBE) of a relaxed structure of PmBPt6.

Properties
The total energy comes out at -6.5075 eV/atom.

Structure (POSCAR):
```
PmBPt6
1.0
2.8193 1.6277 5.1045
-2.8193 1.6277 5.1045
0.0000 -3.2554 5.1045
Pm B Pt
1 1 6
Cartesian
0.0000 0.0000 0.0000
0.0000 0.0000 7.6567
-1.4730 -0.8504 6.4402
0.0000 -1.7008 8.8732
-1.4730 0.8504 8.8732
1.4730 -0.8504 6.4402
0.0000 1.7008 6.4402
1.4730 0.8504 8.8732
```



The following is a DFT calculation (PBE) of a relaxed structure of RbHf3Zn.

Properties
The total energy comes out at -5.2714 eV/atom.

Structure (POSCAR):
```
RbHf3Zn
1.0
5.1683 0.0000 0.0000
0.0000 5.1683 0.0000
0.0000 0.0000 5.1683
Rb Hf Zn
1 3 1
Cartesian
0.0000 0.0000 0.0000
0.0000 2.5841 2.5841
2.5841 0.0000 2.5841
2.5841 2.5841 0.0000
2.5841 2.5841 2.5841
```



The following is a DFT calculation (PBE) of a relaxed structure of KAsSe3.

Properties
For the formation energy (no corrections), the calculation gives -143 kJ/mol of formula units.

Structure (POSCAR):
```
KAsSe3
1.0
4.2429 2.4496 4.5503
-4.2429 2.4496 4.5503
0.0000 -4.8992 4.5503
K As Se
2 2 6
Cartesian
0.0000 0.0000 0.0000
0.0000 0.0000 6.8254
0.0000 0.0000 3.5865
0.0000 0.0000 10.4119
-3.3362 0.4543 7.1374
-0.9066 -1.9954 9.4125
1.2747 -3.1164 7.1374
-1.2747 1.7829 9.4125
2.0615 2.6621 7.1374
2.1814 0.2125 9.4125
```



The following is a DFT calculation (PBE) of a relaxed structure of Ho2Er6Tm.

Properties
The total energy comes out at -4.5338 eV/atom.

Structure (POSCAR):
```
Ho2Er6Tm
1.0
3.5033 0.0000 0.0000
0.0109 8.5602 0.0000
1.7397 -0.0020 9.0873
Ho Er Tm
2 6 1
Cartesian
0.8722 1.4300 3.5355
4.3817 7.1282 5.5517
0.8787 4.2795 1.5168
2.6259 7.1292 8.5832
2.6204 1.4282 6.5653
2.6336 7.1299 2.5220
2.6280 1.4290 0.5041
4.3752 4.2786 7.5705
2.6270 4.2791 4.5436
```



The following is a DFT calculation (PBE) of a relaxed structure of CaIn6Au12.

Properties
The total energy comes out at -3.2614 eV/atom.

Structure (POSCAR):
```
CaIn6Au12
1.0
6.4427 3.7197 2.7573
-6.4427 3.7197 2.7573
0.0000 -7.4393 2.7573
Ca In Au
1 6 12
Cartesian
0.0000 0.0000 0.0000
-1.6048 -2.7539 2.3369
-1.5826 2.7668 2.3369
-3.1874 0.0128 5.9349
3.1874 -0.0128 2.3369
1.5826 -2.7668 5.9349
1.6048 2.7539 5.9349
-4.1425 1.7294 3.2154
-3.5690 -2.7228 5.0564
-1.7632 -0.0244 2.9652
0.5735 -4.4523 3.2154
0.9027 -1.5147 2.9652
0.8605 1.5391 2.9652
-0.8605 -1.5391 5.3066
-0.9027 1.5148 5.3066
-0.5735 4.4523 5.0564
1.7632 0.0244 5.3066
3.5690 2.7228 3.2154
4.1425 -1.7294 5.0564
```



The following is a DFT calculation (PBE) of a relaxed structure of Th4Te2RhS.

Properties
For the formation energy (no corrections), the calculation gives -952 kJ/mol of formula units.

Structure (POSCAR):
```
Th4Te2RhS
1.0
7.3945 0.0000 0.0000
0.0000 4.1181 0.0000
-2.4271 0.0000 7.4469
Th Te Rh S
4 2 1 1
Cartesian
1.1786 0.0000 1.5458
0.0716 2.0591 5.8656
4.8958 2.0591 1.5813
3.7888 0.0000 5.9012
-1.2135 0.0000 3.7235
2.4837 2.0591 3.7235
0.0000 2.0591 0.0000
3.6973 0.0000 0.0000
```



The following is a DFT calculation (PBE) of a relaxed structure of HfRe2Ru2.

Properties
The total energy comes out at -10.6995 eV/atom.

Structure (POSCAR):
```
HfRe2Ru2
1.0
7.5711 0.0000 0.0000
0.0000 7.5711 0.0000
0.0000 0.0000 2.7915
Hf Re Ru
2 4 4
Cartesian
0.0000 0.0000 0.0000
3.7856 3.7856 0.0000
1.2956 2.4900 1.3958
2.4900 6.2756 1.3958
5.0811 1.2956 1.3958
6.2756 5.0811 1.3958
0.9450 4.7305 0.0000
2.8406 0.9450 0.0000
4.7305 6.6261 0.0000
6.6261 2.8406 0.0000
```



The following is a DFT calculation (PBE) of a relaxed structure of TbSm3Dy2.

Properties
The total energy comes out at -4.6628 eV/atom.

Structure (POSCAR):
```
TbSm3Dy2
1.0
7.2323 0.0000 0.0000
3.6144 6.2649 0.0000
1.8156 1.0528 8.6684
Tb Sm Dy
2 6 4
Cartesian
2.7097 1.5721 0.0103
9.9526 5.7456 8.6581
2.7167 1.5742 5.7687
6.3337 5.7441 8.6561
6.3275 5.7424 2.8913
6.3348 1.5753 5.7771
6.3286 1.5737 0.0123
9.9456 5.7436 2.8997
4.5244 4.6955 5.7863
4.5201 2.6200 2.8900
8.1423 4.6978 5.7784
8.1379 2.6222 2.8821
```



The following is a DFT calculation (PBE) of a relaxed structure of TaGa2Se6.

Properties
For the formation energy (no corrections), the calculation gives -413 kJ/mol of formula units.

Structure (POSCAR):
```
TaGa2Se6
1.0
6.1923 -5.6053 0.0000
6.1923 5.6053 0.0000
-0.9329 0.0000 6.8661
Ta Ga Se
2 4 12
Cartesian
5.4926 4.3460 5.1496
5.9591 -4.3460 1.7165
3.2638 0.7601 4.2612
3.7302 -0.7601 0.8281
7.7215 0.7601 6.0380
8.1879 -0.7601 2.6050
0.7799 0.7092 4.0414
3.6425 2.8013 5.6370
1.2463 -0.7092 0.6083
4.3590 1.1611 2.1408
7.3428 2.8013 4.6622
3.8926 -1.1611 5.5738
7.5591 1.1611 1.2923
4.1089 -2.8013 2.2039
7.0927 -1.1611 4.7254
10.2054 0.7092 6.2578
7.8092 -2.8013 1.2292
10.6718 -0.7092 2.8248
```



The following is a DFT calculation (PBE) of a relaxed structure of BaPmMoN4.

Properties
For the formation energy (no corrections), the calculation gives -469 kJ/mol of formula units.

Structure (POSCAR):
```
BaPmMoN4
1.0
6.1607 0.0000 0.0000
0.0000 6.0597 0.0000
-2.0871 0.0000 7.2154
Ba Pm Mo N
2 2 2 8
Cartesian
0.4535 1.5149 3.0729
3.6201 4.5448 4.1425
-0.1292 1.5149 6.8512
4.2028 4.5448 0.3642
1.1226 4.5448 1.2203
2.9510 1.5149 5.9951
-1.6770 4.5448 6.7190
-0.3870 4.5448 2.3364
2.2962 3.0946 1.4183
2.2962 5.9949 1.4183
1.7774 0.0647 5.7971
1.7774 2.9651 5.7971
4.4606 1.5149 4.8790
5.7506 1.5149 0.4964
```



The following is a DFT calculation (PBE) of a relaxed structure of Li2Mg3CdHg3.

Properties
The total energy comes out at -1.3448 eV/atom.

Structure (POSCAR):
```
Li2Mg3CdHg3
1.0
8.1708 0.0000 0.0000
-4.0854 7.0761 0.0000
0.0000 0.0000 3.1469
Li Mg Cd Hg
2 3 1 3
Cartesian
0.0000 4.7174 0.0000
4.0854 2.3587 0.0000
-2.8526 4.9408 0.0000
1.2328 2.1353 0.0000
5.7052 0.0000 0.0000
0.0000 0.0000 1.5734
-1.5576 2.6979 1.5734
3.1153 0.0000 1.5734
2.5278 4.3782 1.5734
```